--- 1 ---
Computed, not measured: a relaxed structure of VCF3 at the PBE with a Hubbard U level of DFT.

Calculated volume, Å³ per cell: 65
Symmetry: Pm-3m
Mass density, Mg/m³: 3.1

a b c (Å): 4.0128 4.0128 4.0128
angles (deg): 90.00 90.00 90.00
Positions (direct):
1 C 0.5000 0.5000 0.5000
2 F 0.0000 0.0000 0.5000
3 F 0.5000 0.0000 0.0000
4 F 0.0000 0.5000 0.0000
5 V 0.0000 0.0000 0.0000

--- 2 ---
Computed, not measured: a relaxed structure of VCF3 at the PBE with a Hubbard U level of DFT.

Calculated volume, Å³ per cell: 60
Symmetry: Pm-3m
Mass density, Mg/m³: 3.3

a b c (Å): 3.9090 3.9090 3.9090
angles (deg): 90.00 90.00 90.00
Positions (direct):
1 V 0.5000 0.5000 0.5000
2 F 0.5000 0.0000 0.0000
3 F 0.0000 0.0000 0.5000
4 F 0.0000 0.5000 0.0000
5 C 0.0000 0.0000 0.0000

Tell me which of them is the most stable. Sure, it is 1.

--- 1 ---
Computed, not measured: a relaxed structure of VC2F at the PBE with a Hubbard U level of DFT.

Calculated volume, Å³ per cell: 105
Symmetry: I-42d
Mass density, Mg/m³: 3.0

a b c (Å): 4.4853 4.4853 6.1180
angles (deg): 68.50 68.50 90.00
Positions (direct):
1 C 0.0638 0.6250 0.2500
2 C 0.6862 0.1250 0.2500
3 C 0.3750 0.3138 0.7500
4 C 0.8750 0.9362 0.7500
5 F 0.5000 0.5000 0.0000
6 F 0.2500 0.7500 0.5000
7 V 0.0000 0.0000 0.0000
8 V 0.7500 0.2500 0.5000

--- 2 ---
Computed, not measured: a relaxed structure of VC2F at the PBE with a Hubbard U level of DFT.

Calculated volume, Å³ per cell: 37
Symmetry: Fm-3m
Mass density, Mg/m³: 4.2

a b c (Å): 3.7518 3.7518 3.7518
angles (deg): 60.00 60.00 60.00
Positions (direct):
1 C 0.2500 0.2500 0.2500
2 C 0.7500 0.7500 0.7500
3 V 0.5000 0.5000 0.5000
4 F 0.0000 0.0000 0.0000

Tell me which of them is the most stable. Sure, it is 1.